Entry 1:
## NaCuBi (PBE-GGA)

Data for a geometry-optimized NaCuBi structure.

Lattice parameters (Å, degrees): 6.5342 6.5342 6.5342 90.00 90.00 90.00
Space group F-43m (No. 216)
Asymmetric unit:
Na  0.0000  0.0000  0.0000 (multiplicity 4)
Cu  0.2500  0.2500  0.7500 (multiplicity 4)
Bi  0.0000  0.0000  0.5000 (multiplicity 4)

Summary:
ΔE to the lowest computed polymorph (eV per formula unit): 0.00



Entry 2:
## TbGeNO (PBE-GGA)

Data for a geometry-optimized TbGeNO structure.

Lattice parameters (Å, degrees): 4.7830 4.7830 4.8676 90.00 90.00 90.00
Space group P4/nmm (No. 129, origin choice 2)
Asymmetric unit:
Tb  0.2500  0.7500  0.0000 (multiplicity 2)
Ge  0.2500  0.2500  0.4875 (multiplicity 2)
N  0.2500  0.2500  0.0986 (multiplicity 2)
O  0.2500  0.7500  0.5000 (multiplicity 2)

Summary:
Magnetic moment (μB per cell): 0.00
ΔE to the lowest computed polymorph (eV per formula unit): 1.37



Entry 3:
## GdDyIn (PBE-GGA)

Data for a geometry-optimized GdDyIn structure.

Lattice parameters (Å, degrees): 7.3489 7.3489 7.3489 90.00 90.00 90.00
Space group F-43m (No. 216)
Asymmetric unit:
Gd  0.0000  0.0000  0.0000 (multiplicity 4)
Dy  0.0000  0.0000  0.5000 (multiplicity 4)
In  0.2500  0.2500  0.7500 (multiplicity 4)

Summary:
Magnetic moment (μB per cell): 0.17
ΔE to the lowest computed polymorph (eV per formula unit): 0.78



Entry 4:
## Tb2PrIn3Pd3 (PBE-GGA)

Data for a geometry-optimized Tb2PrIn3Pd3 structure.

Lattice parameters (Å, degrees): 3.9461 13.3954 7.7159 90.00 90.00 90.00
Space group Amm2 (No. 38)
Asymmetric unit:
Tb  0.0000  0.2047  0.0000 (multiplicity 4)
Pr  0.0000  0.0000  0.3842 (multiplicity 2)
In  0.5000  0.0000  0.0471 (multiplicity 2)
In  0.5000  0.1296  0.6688 (multiplicity 4)
Pd  0.0000  0.0000  0.7959 (multiplicity 2)
Pd  0.5000  0.1696  0.2934 (multiplicity 4)

Summary:
Magnetic moment (μB per cell): 0.01



Entry 5:
## SrLi2Au2 (PBE-GGA)

Data for a geometry-optimized SrLi2Au2 structure.

Lattice parameters (Å, degrees): 4.2281 4.2281 12.3119 90.00 90.00 90.00
Space group I4/mmm (No. 139)
Asymmetric unit:
Sr  0.0000  0.0000  0.0000 (multiplicity 2)
Li  0.0000  0.5000  0.2500 (multiplicity 4)
Au  0.0000  0.0000  0.3843 (multiplicity 4)



Entry 6:
## ErLu4CuIr2 (PBE-GGA)

Data for a geometry-optimized ErLu4CuIr2 structure.

Lattice parameters (Å, degrees): 4.7769 4.7769 7.3656 90.00 90.00 90.00
Space group P4/mmm (No. 123)
Asymmetric unit:
Er  0.0000  0.0000  0.0000 (multiplicity 1)
Lu  0.0000  0.5000  0.2749 (multiplicity 4)
Cu  0.5000  0.5000  0.5000 (multiplicity 1)
Ir  0.0000  0.0000  0.5000 (multiplicity 1)
Ir  0.5000  0.5000  0.0000 (multiplicity 1)

Summary:
Magnetic moment (μB per cell): 0.04
Formation energy from the elements (eV/atom): -0.48



Entry 7:
## Ba2Zn3Br2O4 (PBE-GGA)

Data for a geometry-optimized Ba2Zn3Br2O4 structure.

Lattice parameters (Å, degrees): 5.7140 5.7140 14.1635 90.00 90.00 90.00
Space group I4/mmm (No. 139)
Asymmetric unit:
Ba  0.0000  0.0000  0.1309 (multiplicity 4)
Zn  0.0000  0.0000  0.5000 (multiplicity 2)
Zn  0.0000  0.5000  0.0000 (multiplicity 4)
Br  0.0000  0.5000  0.2500 (multiplicity 4)
O  0.2485  0.2485  0.0000 (multiplicity 8)



Entry 8:
## ZnTe4Ir2 (PBE-GGA)

Data for a geometry-optimized ZnTe4Ir2 structure.

Lattice parameters (Å, degrees): 11.3457 11.3457 11.3457 90.00 90.00 90.00
Space group Fd-3m (No. 227, origin choice 2)
Asymmetric unit:
Zn  0.1250  0.1250  0.1250 (multiplicity 8)
Te  0.0149  0.0149  0.7351 (multiplicity 32)
Ir  0.0000  0.0000  0.5000 (multiplicity 16)

Summary:
Magnetic moment (μB per cell): 0.02



no.,calculated total energy (eV per atom)
1,-3.048
2,-6.957
3,-4.093
4,-5.000
5,-3.006
6,-5.993
7,-4.546
8,-4.782